Compound: CrCuIrO6
Source: the Alexandria database
Functional: PBE+U
Structure: relaxed

a = 5.0364 Å, b = 5.0364 Å, c = 8.6888 Å
α = 90.00°, β = 90.00°, γ = 120.00°
Space group P-31c (No. 163)
One atom of each set of equivalent atoms:
Cr1 0.3333 0.6667 0.2500 [2 per cell]
Cu1 0.0000 0.0000 0.0000 [2 per cell]
Ir1 0.3333 0.6667 0.7500 [2 per cell]
O1 0.0057 0.3551 0.6269 [12 per cell]

Output
The total energy is -6.426 eV/atom.